Version P
VASP calculation (PBE) on a geometry-optimized LuMgSiNi structure.

Output
Space-group type = F-43m (216)
M_tot = 0.001 μB/atom

Cell lengths 4.5049, 4.5049, 4.5049 Å; angles 60.00, 60.00, 60.00 degrees
With the nearest neighbours (Å) after each atom.
Fractional coordinates of all 4 atoms:
Lu: 0.0000 0.0000 0.0000  4 Mg 2.76, 4 Ni 2.76
Mg: 0.2500 0.2500 0.2500  4 Si 2.76, 4 Lu 2.76
Si: 0.5000 0.5000 0.5000  4 Mg 2.76, 4 Ni 2.76
Ni: 0.7500 0.7500 0.7500  4 Si 2.76, 4 Lu 2.76



Version Q
VASP calculation (PBE) on a geometry-optimized LuMgSiNi structure.

Output
Space-group type = F-43m (216)
M_tot = 0.006 μB/atom

Cell lengths 4.5569, 4.5569, 4.5569 Å; angles 60.00, 60.00, 60.00 degrees
With the nearest neighbours (Å) after each atom.
Fractional coordinates of all 4 atoms:
Lu: 0.0000 0.0000 0.0000  4 Mg 2.79, 4 Si 2.79
Mg: 0.7500 0.7500 0.7500  4 Ni 2.79, 4 Lu 2.79
Si: 0.2500 0.2500 0.2500  4 Ni 2.79, 4 Lu 2.79
Ni: 0.5000 0.5000 0.5000  4 Mg 2.79, 4 Si 2.79



version P takes first place; second place is 46 meV per atom up.